A geometry-optimized PrPaCrO6 structure, computed with PBE+U.

Cell: 4.8169 5.4795 5.4795 Å, 120.00 90.00 90.00°
With the nearest neighbours (Å) after each atom.
Sites, in units of the cell vectors:
1 Pr 0.5000 0.6667 0.3333  6 O 2.36
2 Pa 0.0000 0.3333 0.6667  6 O 2.21
3 Cr 0.5000 0.0000 0.0000  6 O 1.99
4 O 0.7371 0.6882 0.7213  1 Cr 1.99, 1 Pa 2.21
5 O 0.7371 0.2787 0.9669  1 Cr 1.99, 1 Pa 2.21
6 O 0.7371 0.0331 0.3118  1 Cr 1.99, 1 Pa 2.21
7 O 0.2629 0.2787 0.3118  1 Cr 1.99, 1 Pa 2.21
8 O 0.2629 0.6882 0.9669  1 Cr 1.99, 1 Pa 2.21
9 O 0.2629 0.0331 0.7213  1 Cr 1.99, 1 Pa 2.21

Results
**ρ**: 6.89 g cm⁻³
**Total DFT energy (no corrections)**: -8.42 eV per atom